Material: Ac2AgSnAu6
Method: DFT, GGA-PBE
State: optimized geometry

The structure in CIF format:
```
data_Ac2AgSnAu6
_space_group_name_H-M_alt 'P -1'
_space_group_IT_number 2
_space_group_name_Hall '-P 1'
_cell_length_a 5.5400
_cell_length_b 7.0528
_cell_length_c 7.5299
_cell_angle_alpha 80.77
_cell_angle_beta 68.52
_cell_angle_gamma 66.90
loop_
_atom_site_label
_atom_site_fract_x
_atom_site_fract_y
_atom_site_fract_z
Ac1 0.0263 0.2349 0.2131
Ag1 0.5000 0.5000 0.0000
Sn1 0.5000 0.0000 0.5000
Au1 0.0011 0.7741 0.2232
Au2 0.3316 0.4286 0.4107
Au3 0.4969 0.2253 0.7783
```

The magnetic moment comes out at 0.000 μB/cell. Its density of states at the Fermi level is 0.51 states/eV per atom. The calculation puts the formation energy at -0.470 eV per atom.